[1]
KRu3O | GGA-PBE | optimized geometry

Structure (CIF):
```
data_KRu3O
_space_group_name_H-M_alt 'P m -3 m'
_space_group_IT_number 221
_space_group_name_Hall '-P 4 2 3'
_cell_length_a 4.7533
_cell_length_b 4.7533
_cell_length_c 4.7533
_cell_angle_alpha 90.00
_cell_angle_beta 90.00
_cell_angle_gamma 90.00
loop_
_atom_site_label
_atom_site_fract_x
_atom_site_fract_y
_atom_site_fract_z
K1 0.0000 0.0000 0.0000
Ru1 0.0000 0.0000 0.5000
O1 0.5000 0.5000 0.5000
```

Results
**Size of the total moment**: 7.896 Bohr magnetons per cell
**Uncorrected formation energy**: 3.379 eV per atom
**Excess energy over the best structure of this formula in the dataset**: 2.4499 eV per atom

[2]
CsH2Se | GGA-PBE | optimized geometry

Structure (CIF):
```
data_CsH2Se
_space_group_name_H-M_alt 'R -3 m'
_space_group_IT_number 166
_space_group_name_Hall '-R 3 2"'
_cell_length_a 3.8898
_cell_length_b 3.8898
_cell_length_c 16.3860
_cell_angle_alpha 90.00
_cell_angle_beta 90.00
_cell_angle_gamma 120.00
loop_
_atom_site_label
_atom_site_fract_x
_atom_site_fract_y
_atom_site_fract_z
Cs1 0.0000 0.0000 0.0000
H1 0.0000 0.0000 0.1839
Se1 0.0000 0.0000 0.5000
```

Results
**Size of the total moment**: 0.029 Bohr magnetons per cell
**Excess energy over the best structure of this formula in the dataset**: 0.3080 eV per atom

The highest size of the total moment belongs to which entry?
KRu3O